Compound: Ca3Ni3Ge
Source: Alexandria
Functional: PBE
Structure: relaxed

```
14
Lattice="-2.454 -2.029 2.597 2.486 -3.509 -3.642 9.984 -1.500 8.260" Properties=species:S:1:pos:R:3 pbc="T T T"
Ca 0.518 -3.662 0.879
Ca 6.609 -2.941 3.947
Ni 5.715 -5.825 4.100
Ca 6.288 -2.236 7.444
Ca 9.498 -3.375 6.337
Ca 3.407 -4.096 3.269
Ni 2.937 -1.959 1.244
Ge -1.227 -1.014 1.299
Ge 3.765 -1.764 5.429
Ni 1.020 -0.719 0.402
Ni 7.079 -5.078 5.972
Ca 3.728 -4.801 -0.228
Ni 8.996 -6.318 6.814
Ni 4.301 -1.212 3.116
```

Properties
* magnetic moment: 0.00 Bohr magnetons per cell
* E_form: -2.2 eV per formula unit
* DOS at the Fermi energy: 5.28 states/eV/f.u.